No. 1
AcLaTb3Ho | PBE-GGA | optimized geometry

As for the total energy: -4.38 eV per atom. The value obtained for the formation energy is 120 kJ/mol of formula units. The calculation puts the density of states at the Fermi level at 9.2 states/eV/f.u.

It has space group C2/m (No. 12), with a = 20.5431 Å, b = 5.7627 Å, c = 7.2007 Å, α = 90.00°, β = 90.17° and γ = 90.00°. The distinct sites, in fractional coordinates, are Ac at (0.1451, 0.0000, 0.4712), La at (0.0546, 0.5000, 0.2161), Tb at (0.0201, 0.0000, 0.7709), Tb at (0.1700, 0.5000, 0.7708), Tb at (0.2185, 0.5000, 0.2494) and Ho at (0.1514, 0.0000, 0.0229).



No. 2
AcLaTbHo2 | PBE-GGA | optimized geometry

As for the total energy: -4.52 eV per atom. The value obtained for the formation energy is 22 kJ/mol of formula units. The calculation puts the density of states at the Fermi level at 8.4 states/eV/f.u.

It has space group P2_1/m (No. 11), with a = 6.4180 Å, b = 5.8851 Å, c = 9.8458 Å, α = 90.00°, β = 108.83° and γ = 90.00°. The distinct sites, in fractional coordinates, are Ac at (0.0693, 0.2500, 0.3047), La at (0.1389, 0.7500, 0.0982), Tb at (0.3372, 0.7500, 0.5036), Ho at (0.2784, 0.2500, 0.7049) and Ho at (0.4678, 0.2500, 0.0973).



No. 3
AcLa4Tb2Ho | PBE-GGA | optimized geometry

As for the total energy: -4.67 eV per atom. The value obtained for the formation energy is 27 kJ/mol of formula units. The calculation puts the density of states at the Fermi level at 13.9 states/eV/f.u.

It has space group C2/m (No. 12), with a = 11.6334 Å, b = 5.2557 Å, c = 10.5506 Å, α = 90.00°, β = 116.99° and γ = 90.00°. The distinct sites, in fractional coordinates, are Ac at (0.0000, 0.0000, 0.0000), La at (0.2463, 0.0000, 0.8687), La at (0.2485, 0.5000, 0.6223), Tb at (0.0008, 0.5000, 0.7439) and Ho at (0.0000, 0.0000, 0.5000).



No. 4
AcLa6Tb2Ho | PBE-GGA | optimized geometry

As for the total energy: -4.64 eV per atom. The value obtained for the formation energy is 104 kJ/mol of formula units. The calculation puts the density of states at the Fermi level at 15.3 states/eV/f.u.

It has space group C2/c (No. 15), with a = 9.4615 Å, b = 15.5788 Å, c = 9.9868 Å, α = 90.00°, β = 97.46° and γ = 90.00°. The distinct sites, in fractional coordinates, are Ac at (0.0000, 0.0240, 0.2500), La at (0.0664, 0.1818, 0.9498), La at (0.0985, 0.3942, 0.1208), La at (0.2209, 0.2252, 0.3119), Tb at (0.2463, 0.4492, 0.4545) and Ho at (0.0000, 0.4112, 0.7500).